# 1
## Pr4TlGeTe2 (PBE-GGA)

Data for an optimized crystal structure of Pr4TlGeTe2.

Cell: 6.351 6.351 7.808 Å, 114.00 114.00 90.00°
Fractional coordinates of all 8 atoms:
Pr1 0.248 0.248 0.496
Pr2 0.510 0.010 0.019
Pr3 0.752 0.752 0.504
Pr4 0.990 0.490 0.981
Te1 0.000 0.000 0.000
Te2 0.250 0.750 0.500
Tl1 0.500 0.500 0.000
Ge1 0.750 0.250 0.500

E_tot (eV per formula unit): -40.59
Formation energy (no corrections) (meV per atom): -1026
DOS(E_F) (states/eV/f.u.): 4.41
Mass density (g/cm³): 7.064

***

# 2
## SrCa2Cu (PBE-GGA)

Data for an optimized crystal structure of SrCa2Cu.

Cell: 4.151 4.151 10.455 Å, 78.55 78.55 60.00°
Fractional coordinates of all 4 atoms:
Cu1 0.666 0.666 0.001
Ca1 0.279 0.279 0.163
Ca2 0.054 0.054 0.837
Sr1 0.500 0.500 0.499

E_tot (eV per formula unit): -9.71
E above lowest polymorph (meV per atom): 63
DOS(E_F) (states/eV/f.u.): 3.75
Calculated formation energy (eV/atom): 0.017
Mass density (g/cm³): 2.530

***

# 3
## CrRuI3 (PBE-GGA)

Data for an optimized crystal structure of CrRuI3.

Cell: 5.209 5.209 5.209 Å, 90.00 90.00 90.00°
Fractional coordinates of all 5 atoms:
I1 0.500 0.000 0.000
I2 0.000 0.500 0.000
I3 0.000 0.000 0.500
Ru1 0.500 0.500 0.500
Cr1 0.000 0.000 0.000

E_tot (eV per formula unit): -16.47
Formation energy (no corrections) (meV per atom): 1415
E above lowest polymorph (meV per atom): 738
DOS(E_F) (states/eV/f.u.): 13.67
Mass density (g/cm³): 6.270

***

# 4
## LiCaAs2Se (PBE-GGA)

Data for an optimized crystal structure of LiCaAs2Se.

Cell: 5.429 5.429 5.437 Å, 90.00 90.00 90.00°
Fractional coordinates of all 5 atoms:
Se1 0.000 0.000 0.500
As1 0.500 0.000 0.000
As2 0.000 0.500 0.000
Li1 0.500 0.500 0.500
Ca1 0.000 0.000 0.000

E_tot (eV per formula unit): -15.59
Formation energy (no corrections) (meV per atom): 221
E above lowest polymorph (meV per atom): 525
DOS(E_F) (states/eV/f.u.): 4.53
Mass density (g/cm³): 2.858

***

# 5
## RbNaIr3 (PBE-GGA)

Data for an optimized crystal structure of RbNaIr3.

Cell: 5.017 5.017 5.017 Å, 90.00 90.00 90.00°
Last column: magnetic moment on the atom in μB.
Fractional coordinates of all 5 atoms:
Na1 0.500 0.500 0.500  -0.01
Ir1 0.000 0.000 0.500  0.81
Ir2 0.500 0.000 0.000  0.88
Ir3 0.000 0.500 0.000  1.05
Rb1 0.000 0.000 0.000  -0.01

E_tot (eV per formula unit): -14.30
E above lowest polymorph (meV per atom): 607
DOS(E_F) (states/eV/f.u.): 8.57
Calculated formation energy (eV/atom): 2.913
Mass density (g/cm³): 9.009

***

# 6
## LiCeSiOs (PBE-GGA)

Data for an optimized crystal structure of LiCeSiOs.

Cell: 4.567 4.567 4.567 Å, 60.00 60.00 60.00°
Fractional coordinates of all 4 atoms:
Ce1 0.000 0.000 0.000
Li1 0.750 0.750 0.750
Si1 0.500 0.500 0.500
Os1 0.250 0.250 0.250

E_tot (eV per formula unit): -25.34
Formation energy (no corrections) (meV per atom): -209
DOS(E_F) (states/eV/f.u.): 4.11
Mass density (g/cm³): 9.006

***

# 7
## PmNi2Ge (PBE-GGA)

Data for an optimized crystal structure of PmNi2Ge.

Cell: 3.127 3.127 6.705 Å, 90.00 90.00 90.00°
Fractional coordinates of all 4 atoms:
Ni1 0.000 0.000 0.811
Ni2 0.000 0.000 0.189
Pm1 0.500 0.500 0.500
Ge1 0.500 0.500 0.000

E_tot (eV per formula unit): -21.66
DOS(E_F) (states/eV/f.u.): 2.86
Calculated formation energy (eV/atom): -0.183
Mass density (g/cm³): 8.488

***

# 8
## Tl3SbSe4 (PBE-GGA)

Data for an optimized crystal structure of Tl3SbSe4.

Cell: 6.578 9.652 9.460 Å, 90.00 90.00 90.00°
Fractional coordinates of all 16 atoms:
Se1 0.586 0.668 0.274
Se2 0.069 0.961 0.000
Se3 0.086 0.332 0.226
Se4 0.086 0.332 0.774
Se5 0.091 0.766 0.500
Se6 0.586 0.668 0.726
Se7 0.569 0.039 0.500
Se8 0.591 0.234 0.000
Tl1 0.571 0.331 0.305
Tl2 0.071 0.669 0.195
Tl3 0.564 0.901 0.000
Tl4 0.071 0.669 0.805
Tl5 0.571 0.331 0.695
Tl6 0.064 0.099 0.500
Sb1 0.977 0.213 0.000
Sb2 0.477 0.787 0.500

E_tot (eV per formula unit): -27.44
Formation energy (no corrections) (meV per atom): -285
E above lowest polymorph (meV per atom): 28
Mass density (g/cm³): 5.810

***

# 9
## Ce2Mg4Sb3H2 (PBE-GGA)

Data for an optimized crystal structure of Ce2Mg4Sb3H2.

Cell: 4.488 4.488 12.313 Å, 100.50 100.50 90.00°
Last column: magnetic moment on the atom in μB.
Fractional coordinates of all 11 atoms:
Sb1 0.000 0.000 0.000  0.00
Sb2 0.175 0.175 0.350  -0.01
Sb3 0.825 0.825 0.650  -0.01
Ce1 0.691 0.691 0.383  0.78
Ce2 0.309 0.309 0.617  0.78
Mg1 0.418 0.918 0.836  0.01
Mg2 0.582 0.082 0.164  0.01
Mg3 0.082 0.582 0.164  0.01
Mg4 0.918 0.418 0.836  0.01
H1 0.591 0.591 0.183  0.00
H2 0.409 0.409 0.817  0.00

E_tot (eV per formula unit): -42.92
DOS(E_F) (states/eV/f.u.): 11.83
Mass density (g/cm³): 5.160

***

# 10
## Th2Ir2Rh (PBE-GGA)

Data for an optimized crystal structure of Th2Ir2Rh.

Cell: 4.034 5.599 5.599 Å, 74.78 68.89 68.89°
Fractional coordinates of all 5 atoms:
Ir1 0.500 0.307 0.693
Ir2 0.500 0.693 0.307
Rh1 0.000 0.000 0.000
Th1 0.236 0.264 0.264
Th2 0.764 0.736 0.736

E_tot (eV per formula unit): -44.03
DOS(E_F) (states/eV/f.u.): 4.10
Calculated formation energy (eV/atom): -0.823
Mass density (g/cm³): 14.527

***

# 11
## NaVCoN2 (PBE-GGA)

Data for an optimized crystal structure of NaVCoN2.

Cell: 3.867 4.419 3.867 Å, 90.00 90.00 90.00°
Last column: magnetic moment on the atom in μB.
Fractional coordinates of all 5 atoms:
Co1 0.000 0.000 0.000  -1.02
N1 0.500 0.000 0.000  -0.71
N2 0.000 0.000 0.500  -0.53
V1 0.000 0.500 0.000  2.81
Na1 0.500 0.500 0.500  0.05

E_tot (eV per formula unit): -28.03
Formation energy (no corrections) (meV per atom): 1233
DOS(E_F) (states/eV/f.u.): 2.99
Mass density (g/cm³): 4.042

***

# 12
## TcN2 (PBE-GGA)

Data for an optimized crystal structure of TcN2.

Cell: 3.457 3.457 3.457 Å, 60.00 60.00 60.00°
Last column: magnetic moment on the atom in μB.
Fractional coordinates of all 3 atoms:
N1 0.750 0.750 0.750  -0.01
N2 0.250 0.250 0.250  -0.01
Tc1 0.000 0.000 0.000  0.42

E_tot (eV per formula unit): -24.48
Formation energy (no corrections) (meV per atom): 846
DOS(E_F) (states/eV/f.u.): 2.86
Mass density (g/cm³): 7.162